ReAs after structural relaxation. Source: OQMD, functional GGA-PBE.

- Total magnetization: 0.000 μB per atom
- Polymorph energy (0 for the lowest one): 0 meV/atom
- Mass density: 12040 kg/m³

Cell: 5.027 4.422 6.481 Å, 90.00 90.00 90.00°
Space group Pmma (No. 51)
Unique sites:
Re  0.000  0.000  0.000 x2
Re  0.250  0.500  0.162 x2
As  0.250  0.000  0.367 x2
As  0.250  0.500  0.773 x2

YLuMg after structural relaxation. Source: OQMD, functional GGA-PBE.

- Total magnetization: 0.019 μB per atom
- Polymorph energy (0 for the lowest one): 0 meV/atom
- Mass density: 4823 kg/m³

Cell: 7.349 7.349 7.349 Å, 90.00 90.00 90.00°
Space group F-43m (No. 216)
Unique sites:
Y  0.000  0.000  0.000 x4
Lu  0.000  0.000  0.500 x4
Mg  0.250  0.250  0.750 x4

NaHoSO after structural relaxation. Source: OQMD, functional GGA-PBE.

- Total magnetization: 0.000 μB per atom
- Polymorph energy (0 for the lowest one): 81 meV/atom
- Mass density: 5498 kg/m³

Cell: 3.6500 3.6500 18.5331 Å, 90.00 90.00 120.00°
Space group R3m (No. 160, hexagonal axes)
Unique sites:
Na  0.0000  0.0000  0.0000 x3
Ho  0.0000  0.0000  0.4829 x3
S  0.0000  0.0000  0.2405 x3
O  0.0000  0.0000  0.7645 x3

DyHoSi4Ir2 after structural relaxation. Source: OQMD, functional GGA-PBE.

- Total magnetization: 0.000 μB per atom
- Energy: -5.96 eV/atom
- Mass density: 8211 kg/m³

Cell: 2.960 3.948 28.533 Å, 90.00 90.00 90.00°
Space group Amm2 (No. 38)
Unique sites:
Dy  0.000  0.000  0.000 x2
Ho  0.000  0.000  0.307 x2
Si  0.000  0.000  0.111 x2
Si  0.000  0.000  0.196 x2
Si  0.000  0.000  0.426 x2
Si  0.000  0.000  0.881 x2
Ir  0.000  0.000  0.571 x2
Ir  0.000  0.000  0.736 x2

B4IrPb after structural relaxation. Source: OQMD, functional GGA-PBE.

- Total magnetization: 0.002 μB per atom
- Polymorph energy (0 for the lowest one): 0 meV/atom
- Mass density: 10414 kg/m³

Cell: 3.0806 3.0806 8.5885 Å, 90.00 90.00 120.00°
Space group P6/mmm (No. 191)
Unique sites:
B  0.3333  0.6667  0.1900 x4
Ir  0.0000  0.0000  0.0000 x1
Pb  0.0000  0.0000  0.5000 x1

MgZrGeOs after structural relaxation. Source: OQMD, functional GGA-PBE.

- Total magnetization: 0.001 μB per atom
- Polymorph energy (0 for the lowest one): 61 meV/atom
- Mass density: 9127 kg/m³

Cell: 6.506 6.506 6.506 Å, 90.00 90.00 90.00°
Space group F-43m (No. 216)
Unique sites:
Mg  0.000  0.000  0.000 x4
Zr  0.000  0.000  0.500 x4
Ge  0.250  0.250  0.750 x4
Os  0.250  0.250  0.250 x4

Among the records above, which one has the highest total magnetization?
YLuMg